Material: La8Sb3Te4Cl
Method: DFT, PBE-GGA
State: optimized geometry

formation energy from raw total energies	-1489	meV/atom
E	-5.627	eV/atom

Structure (POSCAR):
```
La8Sb3Te4Cl
1.0
4.5631 2.6345 7.4705
-4.5631 2.6345 7.4705
0.0000 -5.2691 7.4705
La Sb Te Cl
8 3 4 1
Direct
0.2455 0.7497 0.7497
0.2478 0.2478 0.2478
0.2503 0.2503 0.7545
0.2503 0.7545 0.2503
0.7497 0.2455 0.7497
0.7497 0.7497 0.2455
0.7522 0.7522 0.7522
0.7545 0.2503 0.2503
0.0000 0.0000 0.5000
0.0000 0.5000 0.0000
0.5000 0.0000 0.0000
0.0000 0.0000 0.0000
0.0000 0.5000 0.5000
0.5000 0.0000 0.5000
0.5000 0.5000 0.0000
0.5000 0.5000 0.5000
```